[1]
Compound: Pm4TlInHg2
Source: Alexandria
Functional: PBE
Structure: optimized geometry

Values from the calculation:
The value obtained for the formation energy from the elements is -44.0 kJ per mole of atoms.

Lattice parameters (Å, degrees): 5.4424 5.4424 26.6341 90.00 90.00 120.00
Space group R-3m (No. 166, hexagonal axes)
One atom of each set of equivalent atoms:
Pm  0.0000  0.0000  0.1251 [6 per cell]
Pm  0.0000  0.0000  0.3751 [6 per cell]
Tl  0.0000  0.0000  0.0000 [3 per cell]
In  0.0000  0.0000  0.5000 [3 per cell]
Hg  0.0000  0.0000  0.2490 [6 per cell]

***

[2]
Compound: Cd6PtAu5
Source: Alexandria
Functional: PBE
Structure: optimized geometry

Values from the calculation:
The value obtained for the formation energy from the elements is -17.8 kJ per mole of atoms.

Lattice parameters (Å, degrees): 4.4440 7.6804 7.0144 90.00 106.93 90.00
Space group P2/m (No. 10)
One atom of each set of equivalent atoms:
Cd  0.0000  0.2443  0.0000 [2 per cell]
Cd  0.3371  0.2466  0.6730 [4 per cell]
Pt  0.5000  0.0000  0.0000 [1 per cell]
Au  0.1669  0.0000  0.3345 [2 per cell]
Au  0.1687  0.5000  0.3380 [2 per cell]
Au  0.5000  0.5000  0.0000 [1 per cell]

***

[3]
Compound: Ta2SbMo
Source: Alexandria
Functional: PBE
Structure: optimized geometry

Values from the calculation:
For the formation energy without anion corrections, the calculation gives 66 meV/atom.

Lattice parameters (Å, degrees): 3.5034 3.5034 5.9894 90.00 90.00 90.00
Space group P4mm (No. 99)
One atom of each set of equivalent atoms:
Ta  0.0000  0.0000  0.0000 [1 per cell]
Ta  0.5000  0.5000  0.2430 [1 per cell]
Sb  0.5000  0.5000  0.7398 [1 per cell]
Mo  0.0000  0.0000  0.4842 [1 per cell]

***

[4]
Compound: Li3Mg8Tl2
Source: Alexandria
Functional: PBE
Structure: optimized geometry

Values from the calculation:
The value obtained for the formation energy from the elements is 3.8 kJ per mole of atoms.

Lattice parameters (Å, degrees): 5.8900 5.8900 31.3008 90.00 90.00 120.00
Space group R-3m (No. 166, hexagonal axes)
One atom of each set of equivalent atoms:
Li  0.0000  0.0000  0.0000 [3 per cell]
Li  0.0000  0.0000  0.1871 [6 per cell]
Mg  0.0000  0.0000  0.2741 [6 per cell]
Mg  0.9999  0.5000  0.2190 [18 per cell]
Tl  0.0000  0.0000  0.3652 [6 per cell]

***

[5]
Compound: CaCr2BBr
Source: Alexandria
Functional: PBE
Structure: optimized geometry

Values from the calculation:
For the formation energy without anion corrections, the calculation gives 1329 meV/atom.

Lattice parameters (Å, degrees): 4.6983 4.6983 5.0467 90.00 90.00 90.00
Space group P4/mmm (No. 123)
One atom of each set of equivalent atoms:
Ca  0.0000  0.0000  0.0000 [1 per cell]
Cr  0.0000  0.5000  0.5000 [2 per cell]
B  0.5000  0.5000  0.0000 [1 per cell]
Br  0.5000  0.5000  0.5000 [1 per cell]

***

[6]
Compound: Te2AsH
Source: Alexandria
Functional: PBE
Structure: optimized geometry

Values from the calculation:
Its offset from the most stable computed form is 514 meV per atom.

Lattice parameters (Å, degrees): 3.2328 3.2328 27.5480 90.00 90.00 120.00
Space group R-3m (No. 166, hexagonal axes)
One atom of each set of equivalent atoms:
Te  0.0000  0.0000  0.1048 [6 per cell]
As  0.0000  0.0000  0.0000 [3 per cell]
H  0.0000  0.0000  0.5000 [3 per cell]

***

[7]
Compound: Mn2HgRu
Source: Alexandria
Functional: PBE
Structure: optimized geometry

Values from the calculation:
The value obtained for the formation energy from the elements is 26.9 kJ per mole of atoms.

Lattice parameters (Å, degrees): 2.9234 2.9234 7.1034 90.00 90.00 90.00
Space group P4mm (No. 99)
One atom of each set of equivalent atoms:
Mn  0.0000  0.0000  0.0000 [1 per cell]
Mn  0.5000  0.5000  0.2232 [1 per cell]
Hg  0.5000  0.5000  0.7162 [1 per cell]
Ru  0.0000  0.0000  0.4168 [1 per cell]

***

[8]
Compound: Tm3AlCo
Source: Alexandria
Functional: PBE
Structure: optimized geometry

Values from the calculation:
Its offset from the most stable computed form is 25 meV per atom. The value obtained for the formation energy from the elements is -22.7 kJ per mole of atoms.

Lattice parameters (Å, degrees): 6.7062 4.6726 7.9600 90.00 111.77 90.00
Space group P2_1/m (No. 11)
One atom of each set of equivalent atoms:
Tm  0.0610  0.2500  0.2616 [2 per cell]
Tm  0.3006  0.2500  0.9305 [2 per cell]
Tm  0.3542  0.7500  0.5970 [2 per cell]
Al  0.2947  0.7500  0.1808 [2 per cell]
Co  0.0720  0.2500  0.5935 [2 per cell]